(1)
Compound: Ti5Co2TcSn2
Source: Alexandria via LeMat-Bulk
Functional: PBE
Structure: relaxed

## Properties
Symmetry: No. 127
Formation energy from the elements: -282 meV per atom
Total magnetization: 0.00 μB per cell

abc: 3.084 10.298 10.298
angles: 90.00 90.00 90.00
Atoms (fractional coordinates):
Ti1 0.500 0.063 0.802
Sn1 0.000 0.676 0.176
Ti2 0.500 0.937 0.198
Ti3 0.500 0.698 0.437
Ti4 0.500 0.563 0.698
Co1 0.000 0.870 0.370
Ti5 0.500 0.000 0.500
Tc1 0.000 0.000 0.000
Sn2 0.000 0.176 0.324
Co2 0.000 0.630 0.870
Co3 0.000 0.130 0.630
Tc2 0.000 0.500 0.500
Ti6 0.500 0.198 0.063
Ti7 0.500 0.802 0.937
Co4 0.000 0.370 0.130
Ti8 0.500 0.302 0.563
Sn3 0.000 0.324 0.824
Ti9 0.500 0.500 0.000
Ti10 0.500 0.437 0.302
Sn4 0.000 0.824 0.676

***

(2)
Compound: Li2Pr3Sb4
Source: Alexandria via LeMat-Bulk
Functional: PBE
Structure: relaxed

## Properties
Symmetry: No. 12
Formation energy without anion corrections: -0.902 eV/atom
Total magnetization: 0.00 μB per cell

abc: 4.523 7.414 9.423
angles: 120.12 90.00 107.76
Atoms (fractional coordinates):
Sb1 0.323 0.645 0.910
Pr1 0.638 0.276 0.724
Sb2 0.929 0.859 0.597
Li1 0.318 0.637 0.620
Pr2 0.362 0.724 0.276
Pr3 0.000 0.000 0.000
Sb3 0.677 0.355 0.090
Li2 0.682 0.363 0.380
Sb4 0.071 0.141 0.403

***

| no. | mass density (kg/m3) |
| --- | --- |
| 1 | 7032 |
| 2 | 5997 |